Material: CuRh9W2
Method: DFT, PBE
State: relaxed

The total energy comes out at -98.32 eV per cell.

The structure belongs to space group P4/mmm (No. 123); the cell edges are 3.8573, 3.8573 and 11.5631 Å and the angles 90.00°, 90.00° and 90.00°. The asymmetric unit holds Cu at (0.0000, 0.0000, 0.0000), Rh at (0.0000, 0.5000, 0.1691), Rh at (0.0000, 0.5000, 0.5000), Rh at (0.5000, 0.5000, 0.0000), Rh at (0.5000, 0.5000, 0.3350) and W at (0.0000, 0.0000, 0.3257).

Material: Ca2NbTeI
Method: DFT, PBE
State: relaxed

The total energy comes out at -18.35 eV per cell. As for the energy relative to the elements, uncorrected: 0.08 eV per atom.

The structure belongs to space group P4/mmm (No. 123); the cell edges are 6.0372, 6.0372 and 5.2283 Å and the angles 90.00°, 90.00° and 90.00°. The asymmetric unit holds Ca at (0.0000, 0.5000, 0.0000), Nb at (0.0000, 0.0000, 0.5000), Te at (0.0000, 0.0000, 0.0000) and I at (0.5000, 0.5000, 0.5000).

Material: KPuCrN4
Method: DFT, PBE
State: relaxed

The total energy comes out at -123.65 eV per cell. As for the energy relative to the elements, uncorrected: -0.50 eV per atom.

The structure belongs to space group P2_1/m (No. 11); the cell edges are 5.7132, 5.5838 and 7.6031 Å and the angles 90.00°, 107.33° and 90.00°. The asymmetric unit holds K at (0.1985, 0.2500, 0.4295), Pu at (0.2745, 0.2500, 0.9514), Cr at (0.2658, 0.7500, 0.1618), N at (0.0529, 0.7500, 0.2865), N at (0.0552, 0.7500, 0.9478) and N at (0.4655, 0.5090, 0.1739).

Material: DyU2P4
Method: DFT, PBE
State: relaxed

The total energy comes out at -218.16 eV per cell.

The structure belongs to space group Cmcm (No. 63); the cell edges are 3.9323, 13.1569 and 12.3313 Å and the angles 90.00°, 90.00° and 90.00°. The asymmetric unit holds Dy at (0.0000, 0.1141, 0.2500), U at (0.0000, 0.3676, 0.0649), P at (0.0000, 0.0000, 0.0000), P at (0.0000, 0.2643, 0.6259) and P at (0.0000, 0.4655, 0.2500).

Material: CdHgSe2
Method: DFT, PBE
State: relaxed

The total energy comes out at -18.51 eV per cell. The polymorph energy (0 for the lowest one) comes out at 0.151 eV per atom. As for the energy relative to the elements, uncorrected: -0.27 eV per atom.

The structure belongs to space group C2/m (No. 12); the cell edges are 7.2825, 4.0705 and 7.1846 Å and the angles 90.00°, 111.14° and 90.00°. The asymmetric unit holds Cd at (0.0000, 0.0000, 0.0000), Hg at (0.0000, 0.5000, 0.5000) and Se at (0.2116, 0.0000, 0.7589).

Material: NdTlAgRh
Method: DFT, PBE
State: relaxed

The total energy comes out at -73.17 eV per cell.

The structure belongs to space group F-43m (No. 216); the cell edges are 7.0205, 7.0205 and 7.0205 Å and the angles 90.00°, 90.00° and 90.00°. The asymmetric unit holds Nd at (0.0000, 0.0000, 0.0000), Tl at (0.0000, 0.0000, 0.5000), Ag at (0.2500, 0.2500, 0.2500) and Rh at (0.2500, 0.2500, 0.7500).